Entry from Alexandria: an optimized crystal structure of HfScTi2O (PBE).

Lattice parameters (Å, degrees): 4.715 4.715 5.481 90.00 90.00 90.00
Sites, in units of the cell vectors:
Hf 0.000 0.000 0.000
Sc 0.000 0.000 0.500
Ti 0.000 0.500 0.000
Ti 0.500 0.000 0.000
O 0.500 0.500 0.500

Computed properties:
Excess energy over the best structure of this formula in the dataset = 1185 kJ/mol of formula units
Mass density = 4.6 g/cm³
Uncorrected energy = -5.99 eV per atom
Magnetization = 0.00 μB/cell
Energy relative to the elements, uncorrected = 1.419 eV per atom

Entry from Alexandria: an optimized crystal structure of RbAgCl6 (PBE).

Lattice parameters (Å, degrees): 5.139 7.407 8.048 84.40 78.92 80.60
Sites, in units of the cell vectors:
Rb 0.000 0.000 0.000
Ag 0.500 0.500 0.000
Cl 0.030 0.188 0.387
Cl 0.179 0.576 0.707
Cl 0.476 0.249 0.843
Cl 0.524 0.751 0.157
Cl 0.821 0.424 0.293
Cl 0.970 0.812 0.613

Computed properties:
Excess energy over the best structure of this formula in the dataset = 0 kJ/mol of formula units
Mass density = 2.3 g/cm³
Uncorrected energy = -2.44 eV per atom
Magnetization = 0.00 μB/cell
Energy relative to the elements, uncorrected = -0.582 eV per atom

Entry from Alexandria: an optimized crystal structure of MgCuPt2 (PBE).

Lattice parameters (Å, degrees): 5.735 7.099 2.904 90.00 90.00 90.00
Sites, in units of the cell vectors:
Mg 0.000 0.000 0.000
Mg 0.500 0.500 0.000
Cu 0.000 0.500 0.000
Cu 0.500 0.000 0.000
Pt 0.250 0.250 0.500
Pt 0.250 0.750 0.500
Pt 0.750 0.250 0.500
Pt 0.750 0.750 0.500

Computed properties:
ΔE_f = -0.528 eV per atom
Mass density = 13.4 g/cm³
Uncorrected energy = -4.97 eV per atom
Magnetization = 0.00 μB/cell

Entry from Alexandria: an optimized crystal structure of CrReS4 (PBE).

Lattice parameters (Å, degrees): 7.770 7.890 3.508 90.00 90.00 90.00
Sites, in units of the cell vectors:
Cr 0.000 0.000 0.000
Cr 0.500 0.500 0.000
Re 0.000 0.500 0.500
Re 0.500 0.000 0.500
S 0.000 0.299 0.000
S 0.000 0.701 0.000
S 0.196 0.000 0.500
S 0.304 0.500 0.500
S 0.500 0.201 0.000
S 0.500 0.799 0.000
S 0.696 0.500 0.500
S 0.804 0.000 0.500

Computed properties:
Mass density = 5.7 g/cm³
Uncorrected energy = -6.75 eV per atom
Magnetization = 2.43 μB/cell
Energy relative to the elements, uncorrected = -0.318 eV per atom

Entry from Alexandria: an optimized crystal structure of Te2RuIF (PBE).

Lattice parameters (Å, degrees): 5.081 5.081 5.563 90.00 90.00 90.00
Sites, in units of the cell vectors:
Te 0.000 0.500 0.000
Te 0.500 0.000 0.000
Ru 0.000 0.000 0.000
I 0.000 0.000 0.500
F 0.500 0.500 0.500

Computed properties:
Excess energy over the best structure of this formula in the dataset = 0 kJ/mol of formula units
Mass density = 5.8 g/cm³
Uncorrected energy = -3.58 eV per atom
Magnetization = 0.00 μB/cell
Energy relative to the elements, uncorrected = 0.213 eV per atom

Entry from Alexandria: an optimized crystal structure of Nd3SnPt4 (PBE).

Lattice parameters (Å, degrees): 4.037 6.686 14.832 90.00 90.00 90.00
Sites, in units of the cell vectors:
Nd 0.000 0.000 0.000
Nd 0.000 0.500 0.191
Nd 0.000 0.500 0.809
Nd 0.500 0.000 0.309
Nd 0.500 0.000 0.691
Nd 0.500 0.500 0.500
Sn 0.000 0.000 0.500
Sn 0.500 0.500 0.000
Pt 0.000 0.299 0.376
Pt 0.000 0.299 0.624
Pt 0.000 0.701 0.376
Pt 0.000 0.701 0.624
Pt 0.500 0.201 0.124
Pt 0.500 0.201 0.876
Pt 0.500 0.799 0.124
Pt 0.500 0.799 0.876

Computed properties:
ΔE_f = -0.942 eV per atom
Mass density = 11.0 g/cm³
Uncorrected energy = -6.25 eV per atom
Magnetization = 0.00 μB/cell